This record from the Alexandria database describes an optimized crystal structure of Ba3DyNp2O9. The functional is GGA-PBE.

Computed properties:
Formation energy (no corrections) = -3.063 eV/atom
Total moment = 0.333 μB per atom
N(E_F) = 11.452 states/eV per cell
Volume = 256.00 Å³/cell
SG = No. 164

```
15
Lattice="6.224 0.000 0.000 -3.112 5.390 0.000 0.000 0.000 7.632" Properties=species:S:1:pos:R:3 pbc="T T T"
Ba 0.000 0.000 0.000
Ba 0.000 3.593 5.022
Ba 3.112 1.797 2.610
Dy 0.000 0.000 3.816
Np 0.000 3.593 1.273
Np 3.112 1.797 6.359
O -1.556 2.695 0.000
O 0.000 1.836 2.514
O -1.522 4.472 2.514
O 1.590 0.918 5.118
O 3.112 0.000 0.000
O 1.556 2.695 0.000
O 1.522 4.472 2.514
O 4.634 0.918 5.118
O 3.112 3.554 5.118
```